[1]
A plane-wave DFT calculation with PBE-GGA was carried out for a geometry-optimized LaErTm2 structure.

Properties
Magnetic moment (μB per cell): 0.08
Final energy (eV per cell): -18.4
Energy of formation (eV per atom): 0.012
SG: R3m, No. 160

Cell lengths 3.5832, 3.5832, 11.6327 Å; angles 81.14, 81.14, 60.00 degrees
Positions (direct):
Er (0.5004, 0.5004, 0.4987)
La (0.6661, 0.6661, 0.0016)
Tm (0.2477, 0.2477, 0.2568)
Tm (0.0857, 0.0857, 0.7429)



[2]
A plane-wave DFT calculation with PBE-GGA was carried out for a geometry-optimized BeAl2S4 structure.

Properties
Energy relative to the elements, uncorrected (meV per atom): -1049
Magnetic moment (μB per cell): 0.00
Final energy (eV per cell): -35.1
SG: P-42m, No. 111

Cell lengths 5.1567, 5.1567, 5.0438 Å; angles 90.00, 90.00, 90.00 degrees
Positions (direct):
Al (0.5000, 0.0000, 0.5000)
S (0.7515, 0.7515, 0.2287)
Al (0.0000, 0.5000, 0.5000)
S (0.2485, 0.7515, 0.7713)
S (0.2485, 0.2485, 0.2287)
Be (0.0000, 0.0000, 0.0000)
S (0.7515, 0.2485, 0.7713)



[3]
A plane-wave DFT calculation with PBE-GGA was carried out for a geometry-optimized Mg2Ga2Re structure.

Properties
Magnetic moment (μB per cell): 0.00
Final energy (eV per cell): -41.6
Energy of formation (eV per atom): 0.179
SG: P4/mbm, No. 127

Cell lengths 6.7152, 6.7152, 3.8804 Å; angles 90.00, 90.00, 90.00 degrees
Positions (direct):
Ga (0.3611, 0.8611, 0.0000)
Mg (0.1734, 0.6734, 0.5000)
Mg (0.3266, 0.1734, 0.5000)
Re (0.5000, 0.5000, 0.0000)
Mg (0.8266, 0.3266, 0.5000)
Ga (0.6389, 0.1389, 0.0000)
Ga (0.1389, 0.3611, 0.0000)
Ga (0.8611, 0.6389, 0.0000)
Mg (0.6734, 0.8266, 0.5000)
Re (0.0000, 0.0000, 0.0000)



[4]
A plane-wave DFT calculation with PBE-GGA was carried out for a geometry-optimized As2HRhBr structure.

Properties
Magnetic moment (μB per cell): 0.00
Final energy (eV per cell): -18.4
SG: P4/mmm, No. 123

Cell lengths 3.9656, 3.9656, 5.0582 Å; angles 90.00, 90.00, 90.00 degrees
Positions (direct):
Br (0.0000, 0.0000, 0.5000)
As (0.0000, 0.5000, 0.0000)
H (0.0000, 0.0000, 0.0000)
Rh (0.5000, 0.5000, 0.5000)
As (0.5000, 0.0000, 0.0000)